VASP calculation (PBE) on a geometry-optimized Ba5Ga3 structure.

Lattice parameters (Å, degrees): 8.686 8.686 17.341 90.00 90.00 90.00
Sites, in units of the cell vectors:
Ba 0.668 0.304 0.605
Ga 0.398 0.398 0.750
Ga 0.398 0.602 0.250
Ga 0.898 0.102 0.750
Ga 0.000 0.500 0.017
Ba 0.304 0.332 0.395
Ba 0.500 0.000 0.275
Ga 0.602 0.602 0.750
Ba 0.196 0.168 0.605
Ba 0.168 0.804 0.395
Ba 0.332 0.304 0.105
Ba 0.832 0.196 0.395
Ba 0.696 0.668 0.395
Ga 0.500 0.000 0.483
Ga 0.000 0.500 0.517
Ba 0.500 0.000 0.775
Ba 0.332 0.696 0.605
Ba 0.804 0.168 0.105
Ba 0.804 0.832 0.605
Ga 0.500 0.000 0.983
Ga 0.898 0.898 0.250
Ba 0.000 0.500 0.225
Ba 0.832 0.804 0.895
Ba 0.196 0.832 0.105
Ba 0.668 0.696 0.105
Ba 0.168 0.196 0.895
Ga 0.102 0.102 0.250
Ba 0.696 0.332 0.895
Ba 0.304 0.668 0.895
Ba 0.000 0.500 0.725
Ga 0.102 0.898 0.750
Ga 0.602 0.398 0.250

Results
Electronic total energy ... -83.494 eV for the cell shown
DFT formation energy ... -0.2724 eV/atom
Calculated density ... 4.55 g cm⁻³
M_tot ... 0.00 μB/cell

=====

VASP calculation (PBE) on a geometry-optimized Pr2Rh6C structure.

Lattice parameters (Å, degrees): 5.923 5.923 5.923 60.00 60.00 60.00
Sites, in units of the cell vectors:
Rh 0.252 0.252 0.748
Rh 0.748 0.748 0.252
C 0.000 0.000 0.000
Pr 0.250 0.250 0.250
Pr 0.750 0.750 0.750
Rh 0.748 0.252 0.252
Rh 0.748 0.252 0.748
Rh 0.252 0.748 0.748
Rh 0.252 0.748 0.252

Results
Electronic total energy ... -66.569 eV for the cell shown
DFT formation energy ... -0.4087 eV/atom
Calculated density ... 10.30 g cm⁻³
M_tot ... 0.00 μB/cell

=====

VASP calculation (PBE) on a geometry-optimized Ca2ThS4 structure.

Lattice parameters (Å, degrees): 4.164 7.085 12.162 90.00 90.00 90.00
Sites, in units of the cell vectors:
S 0.500 0.747 0.540
Ca 0.500 0.081 0.184
S 0.000 0.860 0.288
S 0.000 0.140 0.712
S 0.000 0.360 0.212
Th 0.000 0.500 0.000
Th 0.000 0.000 0.500
S 0.500 0.753 0.040
S 0.500 0.247 0.960
Ca 0.500 0.919 0.816
Ca 0.500 0.581 0.316
S 0.000 0.640 0.788
S 0.500 0.253 0.460
Ca 0.500 0.419 0.684

Results
Electronic total energy ... -84.246 eV for the cell shown
Calculated density ... 4.08 g cm⁻³
M_tot ... 0.00 μB/cell
Energy relative to the elements, uncorrected ... -2.027 eV per atom

=====

VASP calculation (PBE) on a geometry-optimized Y3FeI structure.

Lattice parameters (Å, degrees): 5.268 5.268 5.268 90.00 90.00 90.00
Sites, in units of the cell vectors:
Fe 0.000 0.000 0.000
I 0.500 0.500 0.500
Y 0.500 0.000 0.000
Y 0.000 0.500 0.000
Y 0.000 0.000 0.500

Results
Electronic total energy ... -29.594 eV for the cell shown
Calculated density ... 5.10 g cm⁻³
M_tot ... 0.00 μB/cell
Energy relative to the elements, uncorrected ... -0.038 eV per atom

=====

VASP calculation (PBE) on a geometry-optimized KLiPaO4 structure.

Lattice parameters (Å, degrees): 5.492 5.647 8.171 90.00 119.42 90.00
Sites, in units of the cell vectors:
Pa 0.235 0.250 0.545
Li 0.172 0.750 0.301
O 0.497 0.250 0.433
O 0.503 0.750 0.567
O 0.421 0.750 0.194
O 0.946 0.504 0.326
O 0.054 0.496 0.674
O 0.579 0.250 0.806
O 0.054 0.004 0.674
Li 0.828 0.250 0.699
K 0.568 0.750 0.908
O 0.946 0.996 0.326
Pa 0.765 0.750 0.455
K 0.432 0.250 0.092

Results
Electronic total energy ... -99.185 eV for the cell shown
Calculated density ... 5.13 g cm⁻³
M_tot ... 0.54 μB/cell
Energy relative to the elements, uncorrected ... -2.465 eV per atom

=====

VASP calculation (PBE) on a geometry-optimized ZnPBr2 structure.

Lattice parameters (Å, degrees): 7.854 7.854 7.854 148.89 148.61 44.78
Sites, in units of the cell vectors:
Br 0.246 0.746 0.500
P 0.668 0.668 0.000
Br 0.994 0.994 0.000
Zn 0.591 0.091 0.500

Results
Electronic total energy ... -11.034 eV for the cell shown
Calculated density ... 3.27 g cm⁻³
M_tot ... 0.00 μB/cell
Energy relative to the elements, uncorrected ... -0.251 eV per atom